Entry 1:
VASP calculation (PBE-GGA) on In6Sb after structural relaxation.

## Properties
For the density of states at the Fermi level, the calculation gives 5.49 states/eV per cell. The uncorrected formation energy comes out at 577 meV per atom. The calculation puts the magnetic moment at 0.00 μB/f.u. The crystal system is cubic.

```
In6Sb
1.0
-4.702 5.009 1.457
-3.326 -5.717 -2.360
3.584 -1.612 5.821
In Sb
6 1
Direct
0.250 0.750 0.500
0.500 0.750 0.250
0.250 0.500 0.750
0.750 0.250 0.500
0.500 0.250 0.750
0.750 0.500 0.250
0.000 0.000 0.000
```

Entry 2:
VASP calculation (PBE-GGA) on ScCu2As after structural relaxation.

## Properties
The energy relative to the elements is -1.13 eV/f.u. For the density of states at the Fermi level, the calculation gives 1.40 states/eV per cell. The calculation puts the magnetic moment at 0.00 μB/f.u. The crystal system is cubic.

```
ScCu2As
1.0
-2.923 -2.885 -1.741
2.756 -3.377 0.949
-1.281 2.811 3.218
As Cu Sc
1 2 1
Direct
0.750 0.250 0.500
0.000 0.000 0.000
0.250 0.750 0.500
0.500 0.500 0.000
```

Entry 3:
VASP calculation (PBE-GGA) on Ba4AlZn3 after structural relaxation.

## Properties
The energy relative to the elements is -1.29 eV/f.u. For the density of states at the Fermi level, the calculation gives 6.51 states/eV per cell. The calculation puts the magnetic moment at 0.00 μB/f.u. The crystal system is orthorhombic.

```
Ba4AlZn3
1.0
-0.492 4.149 3.390
-4.408 0.657 -1.444
-3.729 -7.104 8.152
Zn Ba Al
3 4 1
Direct
0.000 0.500 0.546
0.000 0.000 0.457
0.500 0.000 0.955
0.500 0.500 0.353
0.000 0.500 0.849
0.000 0.000 0.148
0.500 0.000 0.651
0.500 0.500 0.042
```

Entry 4:
VASP calculation (PBE-GGA) on VCrCuBr after structural relaxation.

## Properties
As for the energy above the most stable polymorph in this dataset: 129 meV/atom. For the density of states at the Fermi level, the calculation gives 2.80 states/eV per cell. The uncorrected formation energy comes out at 391 meV per atom. The calculation puts the magnetic moment at 0.99 μB/f.u. The crystal system is monoclinic.

```
VCrCuBr
1.0
-2.307 3.485 4.585
-2.609 0.469 -1.669
-3.632 -6.709 3.794
Cr Cu Br V
2 2 2 2
Direct
0.502 0.000 0.996
0.502 0.500 0.496
0.382 0.000 0.720
0.382 0.500 0.220
0.914 0.000 0.054
0.914 0.500 0.554
0.213 0.000 0.438
0.213 0.500 0.938
```

For the records above, the corresponding raw total energy values read -0.087; -0.187; -0.076; -0.211 Ha/atom.